First-principles (GGA-PBE) data for a geometry-optimized YCd2Pb structure, as listed in the Alexandria database.

Output
ΔE_f: -0.18 eV per atom
crystal system: orthorhombic

Unit cell a=3.565 b=4.531 c=6.526 alpha=90.00 beta=90.00 gamma=90.00
Element x y z (fractional)
Cd1 0.000 0.000 0.996
Cd2 0.000 0.000 0.504
Pb1 0.500 0.500 0.250
Y1 0.500 0.500 0.750